Material: SrMo2RhO8
Method: DFT, PBE with a Hubbard U
State: relaxed

a b c (Å): 5.4528 5.4528 7.2863
angles (deg): 88.42 88.42 67.49
Each line ends with the local moment (μB).
Positions (direct):
Sr  0.0000  0.0000  0.5000  0.00
Mo  0.6414  0.6414  0.2264  0.10
Mo  0.3586  0.3586  0.7736  0.10
Rh  0.0000  0.0000  0.0000  0.69
O  0.7216  0.2229  0.7839  0.01
O  0.7819  0.7819  0.0464  0.02
O  0.7257  0.7257  0.4428  0.00
O  0.2743  0.2743  0.5572  0.00
O  0.2181  0.2181  0.9536  0.02
O  0.2229  0.7216  0.7839  0.01
O  0.7771  0.2784  0.2161  0.01
O  0.2784  0.7771  0.2161  0.01

**Volume**: 16.67 Å³ per atom
**Energy**: -6.89 eV/atom